The following is a meta-GGA SCAN calculation of a crystal of KYO2F relaxed with PBEsol, from Alexandria.

## Properties
* energy relative to the elements, uncorrected: -1276 meV per atom
* M_tot: 0.20 μB/atom

Cell lengths 4.3146, 4.3146, 4.2283 Å; angles 90.00, 90.00, 90.00 degrees
With the nearest neighbours (Å) after each atom.
Space group P4/mmm (No. 123)
Unique sites:
K 0.0000 0.0000 0.0000 (multiplicity 1)  2 F 2.11, 4 O 2.16
Y 0.5000 0.5000 0.5000 (multiplicity 1)  8 O 3.02, 4 F 3.05
O 0.0000 0.5000 0.0000 (multiplicity 2)  2 K 2.16
F 0.0000 0.0000 0.5000 (multiplicity 1)  2 K 2.11

The following is a meta-GGA SCAN calculation of a crystal of SrBeFeW2 relaxed with PBEsol, from Alexandria.

## Properties
* M_tot: 0.56 μB/atom
* ΔE_f: 3.78 eV/atom

Cell lengths 4.7569, 4.7569, 4.4123 Å; angles 90.00, 90.00, 90.00 degrees
With the nearest neighbours (Å) after each atom.
Space group P4/mmm (No. 123)
Unique sites:
Sr 0.0000 0.0000 0.0000 (multiplicity 1)  2 Fe 2.21, 4 W 2.38
Be 0.5000 0.5000 0.5000 (multiplicity 1)  8 W 3.24, 4 Fe 3.36
Fe 0.0000 0.0000 0.5000 (multiplicity 1)  2 Sr 2.21
W 0.0000 0.5000 0.0000 (multiplicity 2)  2 Sr 2.38

The following is a meta-GGA SCAN calculation of a crystal of Tl2TcAs relaxed with PBEsol, from Alexandria.

## Properties
* M_tot: 0.00 μB/atom
* ΔE_f: 0.98 eV/atom
* energy relative to the lowest polymorph listed for this composition: 186.2 meV/atom

Cell lengths 6.8417, 6.8417, 6.8417 Å; angles 90.00, 90.00, 90.00 degrees
With the nearest neighbours (Å) after each atom.
Space group Fm-3m (No. 225)
Unique sites:
Tl 0.2500 0.2500 0.2500 (multiplicity 8)  4 Tc 2.96, 4 As 2.96
Tc 0.0000 0.0000 0.0000 (multiplicity 4)  8 Tl 2.96
As 0.0000 0.0000 0.5000 (multiplicity 4)  8 Tl 2.96

The following is a meta-GGA SCAN calculation of a crystal of ScTiGe3 relaxed with PBEsol, from Alexandria.

## Properties
* M_tot: 0.00 μB/atom
* ΔE_f: 0.06 eV/atom

Cell lengths 4.7530, 4.7530, 4.7530 Å; angles 90.00, 90.00, 90.00 degrees
With the nearest neighbours (Å) after each atom.
Space group Pm-3m (No. 221)
Unique sites:
Sc 0.0000 0.0000 0.0000 (multiplicity 1)  12 Ge 3.36
Ti 0.5000 0.5000 0.5000 (multiplicity 1)  6 Ge 2.38
Ge 0.0000 0.5000 0.5000 (multiplicity 3)  2 Ti 2.38

The following is a meta-GGA SCAN calculation of a crystal of CrTc2W relaxed with PBEsol, from Alexandria.

## Properties
* M_tot: 0.00 μB/atom
* ΔE_f: 0.03 eV/atom

Cell lengths 3.0278, 4.2822, 8.5352 Å; angles 90.00, 90.00, 90.00 degrees
With the nearest neighbours (Å) after each atom.
Space group Imm2 (No. 44)
Unique sites:
Cr 0.0000 0.0000 0.0000 (multiplicity 2)  2 W 2.50, 6 Tc 2.62
Tc 0.0000 0.0000 0.5137 (multiplicity 2)  4 Cr 2.62, 2 W 2.64, 2 Tc 2.71
Tc 0.0000 0.5000 0.7500 (multiplicity 2)  2 Cr 2.62, 4 W 2.63, 2 Tc 2.71
W 0.0000 0.5000 0.2672 (multiplicity 2)  2 Cr 2.50, 6 Tc 2.63-2.64

The following is a meta-GGA SCAN calculation of a crystal of KSrMo relaxed with PBEsol, from Alexandria.

## Properties
* M_tot: 0.60 μB/atom
* ΔE_f: 1.46 eV/atom
* energy relative to the lowest polymorph listed for this composition: 0.0 meV/atom

Cell lengths 5.7274, 5.7274, 2.8872 Å; angles 90.00, 90.00, 120.00 degrees
With the nearest neighbours (Å) after each atom.
Space group P3m1 (No. 156)
Unique sites:
K 0.0000 0.0000 0.0000 (multiplicity 1)  2 K 2.89
Sr 0.6667 0.3333 0.0055 (multiplicity 1)  2 Sr 2.89
Mo 0.3333 0.6667 0.5057 (multiplicity 1)  2 Mo 2.89

The following is a meta-GGA SCAN calculation of a crystal of NaZnIn3 relaxed with PBEsol, from Alexandria.

## Properties
* M_tot: 0.00 μB/atom
* ΔE_f: 0.13 eV/atom

Cell lengths 5.1918, 5.1918, 5.1918 Å; angles 90.00, 90.00, 90.00 degrees
With the nearest neighbours (Å) after each atom.
Space group Pm-3m (No. 221)
Unique sites:
Na 0.0000 0.0000 0.0000 (multiplicity 1)  12 In 3.67
Zn 0.5000 0.5000 0.5000 (multiplicity 1)  6 In 2.60
In 0.0000 0.5000 0.5000 (multiplicity 3)  2 Zn 2.60

The following is a meta-GGA SCAN calculation of a crystal of CaHfTcB2 relaxed with PBEsol, from Alexandria.

## Properties
* M_tot: 0.00 μB/atom
* ΔE_f: 2.36 eV/atom

Cell lengths 4.2843, 4.2843, 4.3707 Å; angles 90.00, 90.00, 90.00 degrees
With the nearest neighbours (Å) after each atom.
Space group P4/mmm (No. 123)
Unique sites:
Ca 0.0000 0.0000 0.0000 (multiplicity 1)  4 B 2.14, 2 Tc 2.19
Hf 0.5000 0.5000 0.5000 (multiplicity 1)  4 Tc 3.03, 8 B 3.06
Tc 0.0000 0.0000 0.5000 (multiplicity 1)  2 Ca 2.19
B 0.0000 0.5000 0.0000 (multiplicity 2)  2 Ca 2.14

The following is a meta-GGA SCAN calculation of a crystal of Ca2LaTaAs relaxed with PBEsol, from Alexandria.

## Properties
* M_tot: 0.16 μB/atom
* ΔE_f: 0.15 eV/atom

Cell lengths 5.4369, 5.4369, 4.9679 Å; angles 90.00, 90.00, 90.00 degrees
With the nearest neighbours (Å) after each atom.
Space group P4/mmm (No. 123)
Unique sites:
Ca 0.0000 0.5000 0.0000 (multiplicity 2)  2 As 2.72
La 0.0000 0.0000 0.5000 (multiplicity 1)  8 Ca 3.68, 4 Ta 3.84
Ta 0.5000 0.5000 0.5000 (multiplicity 1)  2 As 2.48
As 0.5000 0.5000 0.0000 (multiplicity 1)  2 Ta 2.48, 4 Ca 2.72

The following is a meta-GGA SCAN calculation of a crystal of SrCoNi3 relaxed with PBEsol, from Alexandria.

## Properties
* M_tot: 0.46 μB/atom
* ΔE_f: 2.20 eV/atom

Cell lengths 4.5485, 4.5485, 4.5485 Å; angles 90.00, 90.00, 90.00 degrees
With the nearest neighbours (Å) after each atom.
Space group Pm-3m (No. 221)
Unique sites:
Sr 0.0000 0.0000 0.0000 (multiplicity 1)  6 Ni 2.27
Co 0.5000 0.5000 0.5000 (multiplicity 1)  12 Ni 3.22
Ni 0.0000 0.0000 0.5000 (multiplicity 3)  2 Sr 2.27

The following is a meta-GGA SCAN calculation of a crystal of Ca7Mg2N6 relaxed with PBEsol, from Alexandria.

## Properties
* energy relative to the elements, uncorrected: -907 meV per atom
* M_tot: 0.00 μB/atom

Cell lengths 6.0377, 12.5757, 6.3463 Å; angles 90.00, 94.54, 90.00 degrees
With the nearest neighbours (Å) after each atom.
Space group C2/m (No. 12)
Unique sites:
Ca 0.0000 0.0000 0.0000 (multiplicity 2)  6 N 2.55-2.76
Ca 0.0000 0.1224 0.5000 (multiplicity 4)  4 N 2.41-2.45
Ca 0.1520 0.3273 0.8245 (multiplicity 8)  4 N 2.39-2.50
Mg 0.1202 0.5000 0.3247 (multiplicity 4)  4 N 2.15-2.22
N 0.2410 0.3550 0.1953 (multiplicity 8)  1 Mg 2.15, 4 Ca 2.39-2.41
N 0.2459 0.5000 0.6596 (multiplicity 4)  2 Mg 2.20-2.22, 2 Ca 2.45

The following is a meta-GGA SCAN calculation of a crystal of SrSi relaxed with PBEsol, from Alexandria.

## Properties
* energy relative to the elements, uncorrected: -456 meV per atom
* M_tot: 0.00 μB/atom

Cell lengths 4.7330, 12.7808, 17.8757 Å; angles 90.00, 90.00, 90.00 degrees
With the nearest neighbours (Å) after each atom.
Space group Immm (No. 71)
Unique sites:
Sr 0.0000 0.0000 0.0000 (multiplicity 2)  12 Si 3.32-3.48
Sr 0.0000 0.0000 0.5000 (multiplicity 2)  4 Si 3.24, 4 Sr 3.55
Sr 0.0000 0.1659 0.1884 (multiplicity 8)  7 Si 3.20-3.28
Sr 0.0000 0.2932 0.0000 (multiplicity 4)  8 Si 3.19-3.33, 2 Sr 3.55
Sr 0.0000 0.5000 0.1705 (multiplicity 4)  5 Si 3.34-3.37
Si 0.0000 0.1784 0.3709 (multiplicity 8)  1 Si 2.38
Si 0.0000 0.3442 0.4321 (multiplicity 8)  3 Si 2.38-2.43
Si 0.0000 0.5000 0.3573 (multiplicity 4)  2 Si 2.40

Number 1: electronic total energy -58.55 eV/f.u.. Number 2: electronic total energy -165.21 eV/f.u.. Number 3: electronic total energy -196.04 eV/f.u.. Number 4: electronic total energy -87.22 eV/f.u.. Number 5: electronic total energy -158.07 eV/f.u.. Number 6: electronic total energy -61.12 eV/f.u.. Number 7: electronic total energy -117.24 eV/f.u.. Number 8: electronic total energy -110.43 eV/f.u.. Number 9: electronic total energy -148.47 eV/f.u.. Number 10: electronic total energy -77.12 eV/f.u.. Number 11: electronic total energy -146.95 eV/f.u.. Number 12: electronic total energy -33.20 eV/f.u..